Entry 1:
TbErF5 | PBE-GGA | relaxed

* magnetic moment: 0.0 μB per formula unit
* formation energy from raw total energies: -26.8 eV/f.u.

Lattice parameters (Å, degrees): 5.967 5.967 7.868 109.14 109.14 73.53
Positions (direct):
Tb 0.012 0.988 0.750
Tb 0.988 0.012 0.250
Er 0.500 0.500 0.000
Er 0.500 0.500 0.500
F 0.173 0.826 0.482
F 0.174 0.827 0.018
F 0.242 0.261 0.376
F 0.261 0.242 0.876
F 0.336 0.664 0.750
F 0.664 0.336 0.250
F 0.739 0.758 0.124
F 0.758 0.739 0.624
F 0.826 0.173 0.982
F 0.827 0.174 0.518

***

Entry 2:
ErTeF | PBE-GGA | relaxed

* energy above the most stable polymorph in this dataset: 46 meV/atom
* magnetic moment: 0.0 μB per formula unit
* formation energy from raw total energies: -7.5 eV/f.u.

Lattice parameters (Å, degrees): 10.736 4.104 7.142 90.00 110.13 90.00
Positions (direct):
Er 0.215 0.000 0.261
Er 0.285 0.500 0.739
Er 0.715 0.500 0.261
Er 0.785 0.000 0.739
Te 0.089 0.000 0.807
Te 0.411 0.500 0.193
Te 0.589 0.500 0.807
Te 0.911 0.000 0.193
F 0.188 0.500 0.395
F 0.312 0.000 0.605
F 0.688 0.000 0.395
F 0.812 0.500 0.605

***

Entry 3:
ErTeF2 | PBE-GGA | relaxed

* magnetic moment: 0.0 μB per formula unit
* formation energy from raw total energies: -11.7 eV/f.u.

Lattice parameters (Å, degrees): 3.866 11.787 6.647 90.00 90.00 90.00
Positions (direct):
Er 0.000 0.244 0.250
Er 0.000 0.756 0.750
Er 0.500 0.256 0.750
Er 0.500 0.744 0.250
Te 0.000 0.022 0.750
Te 0.000 0.978 0.250
Te 0.500 0.478 0.250
Te 0.500 0.522 0.750
F 0.000 0.299 0.570
F 0.000 0.299 0.930
F 0.000 0.701 0.070
F 0.000 0.701 0.430
F 0.500 0.201 0.070
F 0.500 0.201 0.430
F 0.500 0.799 0.570
F 0.500 0.799 0.930

***

Entry 4:
Er2Te2F | PBE-GGA | relaxed

* magnetic moment: 1.0 μB per formula unit
* formation energy from raw total energies: -9.2 eV/f.u.

Lattice parameters (Å, degrees): 19.200 19.200 19.200 168.19 168.19 16.73
Positions (direct):
Er 0.090 0.340 0.750
Er 0.340 0.090 0.250
Er 0.660 0.910 0.750
Er 0.910 0.660 0.250
Te 0.195 0.445 0.750
Te 0.445 0.195 0.250
Te 0.555 0.805 0.750
Te 0.805 0.555 0.250
F 0.125 0.875 0.250
F 0.875 0.125 0.750

***

Entry 5:
ErTeF | PBE-GGA | relaxed

* energy above the most stable polymorph in this dataset: 61 meV/atom
* magnetic moment: 0.0 μB per formula unit
* formation energy from raw total energies: -7.5 eV/f.u.

Lattice parameters (Å, degrees): 4.356 3.942 7.603 90.00 96.78 90.00
Positions (direct):
Er 0.182 0.250 0.211
Er 0.818 0.750 0.789
Te 0.282 0.250 0.645
Te 0.718 0.750 0.355
F 0.189 0.750 0.028
F 0.811 0.250 0.972

***

Entry 6:
ErTeF | PBE-GGA | relaxed

* energy above the most stable polymorph in this dataset: 0 meV/atom
* magnetic moment: 0.0 μB per formula unit
* formation energy from raw total energies: -7.7 eV/f.u.

Lattice parameters (Å, degrees): 6.207 6.849 7.583 90.00 120.20 90.00
Positions (direct):
Er 0.125 0.180 0.227
Er 0.125 0.320 0.727
Er 0.875 0.680 0.273
Er 0.875 0.820 0.773
Te 0.315 0.582 0.119
Te 0.315 0.918 0.619
Te 0.685 0.082 0.381
Te 0.685 0.418 0.881
F 0.119 0.088 0.931
F 0.119 0.412 0.431
F 0.881 0.588 0.569
F 0.881 0.912 0.069

***

Entry 7:
ErTeF | PBE-GGA | relaxed

* energy above the most stable polymorph in this dataset: 31 meV/atom
* magnetic moment: 0.0 μB per formula unit
* formation energy from raw total energies: -7.6 eV/f.u.

Lattice parameters (Å, degrees): 4.089 4.089 4.313 90.00 90.00 120.00
Positions (direct):
Er 0.000 0.000 0.000
Te 0.667 0.333 0.500
F 0.333 0.667 0.000

***

Entry 8:
Er2TeF | PBE-GGA | relaxed

* magnetic moment: 0.0 μB per formula unit
* formation energy from raw total energies: -6.2 eV/f.u.

Lattice parameters (Å, degrees): 3.923 3.923 20.410 90.00 90.00 120.00
Positions (direct):
Er 0.000 0.000 0.231
Er 0.000 0.000 0.769
Er 0.333 0.667 0.436
Er 0.333 0.667 0.898
Er 0.667 0.333 0.102
Er 0.667 0.333 0.564
Te 0.000 0.000 0.000
Te 0.333 0.667 0.667
Te 0.667 0.333 0.333
F 0.000 0.000 0.500
F 0.333 0.667 0.167
F 0.667 0.333 0.833